Record 1
This record from the Alexandria database describes a geometry-optimized MnAlAgF6 structure. The functional is PBE with a Hubbard U.

Unit cell a=5.4010 b=5.4010 c=10.1959 alpha=90.00 beta=90.00 gamma=120.00
Space group P-31c (No. 163)
Unique sites:
Mn (0.3333, 0.6667, 0.2500) x2
Al (0.3333, 0.6667, 0.7500) x2
Ag (0.0000, 0.0000, 0.0000) x2
F (0.0427, 0.3951, 0.6487) x12

Calculated values
final energy	-5.500	eV per atom
ρ	3.917	g cm⁻³
magnetic moment	4.911	μB/f.u.

Record 2
This record from the Alexandria database describes a geometry-optimized AlAg2MoF structure. The functional is PBE with a Hubbard U.

Unit cell a=5.4998 b=5.4998 c=4.0977 alpha=90.00 beta=90.00 gamma=90.00
Space group P4/mmm (No. 123)
Unique sites:
Al (0.0000, 0.0000, 0.0000) x1
Ag (0.0000, 0.5000, 0.5000) x2
Mo (0.5000, 0.5000, 0.5000) x1
F (0.5000, 0.5000, 0.0000) x1

Calculated values
final energy	-3.450	eV per atom
ρ	4.792	g cm⁻³
magnetic moment	3.869	μB/f.u.

Record 3
This record from the Alexandria database describes a geometry-optimized AlAgMoF6 structure. The functional is PBE with a Hubbard U.

Unit cell a=5.5325 b=5.5325 c=10.0581 alpha=90.00 beta=90.00 gamma=120.00
Space group P-31c (No. 163)
Unique sites:
Al (0.3333, 0.6667, 0.2500) x2
Ag (0.0000, 0.0000, 0.0000) x2
Mo (0.3333, 0.6667, 0.7500) x2
F (0.0527, 0.3945, 0.1483) x12

Calculated values
final energy	-5.099	eV per atom
ρ	4.295	g cm⁻³
magnetic moment	2.011	μB/f.u.